No. 1
SrNiRh: relaxed, PBE.

Results
Offset from the most stable computed form ... 1130 meV per atom
Space-group type ... No. 216
DOS(E_F) ... 5.4 states/eV/f.u.
DFT total energy ... -11.92 eV/cell

Unit cell a=4.5821 b=4.5821 c=4.5821 alpha=60.00 beta=60.00 gamma=60.00
Each line ends with the local moment (μB).
Fractional positions:
Sr 0.7500 0.7500 0.7500  -0.02
Ni 0.0000 0.0000 0.0000  0.34
Rh 0.5000 0.5000 0.5000  0.18



No. 2
Sr2NiRh3: relaxed, PBE.

Results
Space-group type ... No. 166
DOS(E_F) ... 6.6 states/eV/f.u.
DFT total energy ... -32.53 eV/cell

Unit cell a=5.4931 b=5.4931 c=5.3863 alpha=89.99 beta=120.72 gamma=119.95
Fractional positions:
Sr 0.2499 0.6251 0.8750
Sr 0.7501 0.3749 0.1250
Rh 0.5000 0.5000 0.5000
Rh 0.5000 0.0000 0.5000
Rh 0.0000 0.0000 0.5000
Ni 0.0000 0.0000 0.0000



No. 3
Sr2NiRh: relaxed, PBE.

Results
Space-group type ... No. 65
DOS(E_F) ... 2.3 states/eV/f.u.
DFT total energy ... -16.17 eV/cell

Unit cell a=8.1087 b=5.1107 c=3.6711 alpha=89.95 beta=63.15 gamma=129.13
Fractional positions:
Sr 0.5000 0.0000 0.5000
Sr 0.0000 0.0000 0.0000
Ni 0.0000 0.5000 0.5000
Rh 0.5000 0.5000 0.0000



No. 4
Sr2NiRh: relaxed, PBE.

Results
Space-group type ... No. 119
DOS(E_F) ... 5.3 states/eV/f.u.
DFT total energy ... -15.58 eV/cell

Unit cell a=5.9300 b=5.9300 c=5.9300 alpha=137.31 beta=137.31 gamma=61.96
Fractional positions:
Sr 0.0000 0.0000 0.0000
Sr 0.2500 0.7500 0.5000
Ni 0.5000 0.5000 0.0000
Rh 0.7500 0.2500 0.5000



No. 5
Sr2NiRh: relaxed, PBE.

Results
Space-group type ... No. 216
DOS(E_F) ... 6.4 states/eV/f.u.
DFT total energy ... -15.27 eV/cell

Unit cell a=5.0225 b=5.0225 c=5.0225 alpha=60.00 beta=60.00 gamma=60.00
Each line ends with the local moment (μB).
Fractional positions:
Sr 0.0000 0.0000 0.0000  -0.01
Sr 0.2500 0.2500 0.2500  -0.01
Rh 0.7500 0.7500 0.7500  0.13
Ni 0.5000 0.5000 0.5000  0.27



No. 6
Sr2NiRh: relaxed, PBE.

Results
Space-group type ... No. 160
DOS(E_F) ... 6.1 states/eV/f.u.
DFT total energy ... -17.34 eV/cell

Unit cell a=4.2466 b=4.2465 c=8.3491 alpha=75.31 beta=75.27 gamma=60.00
Each line ends with the local moment (μB).
Fractional positions:
Ni 0.4695 0.2320 0.8290  0.12
Rh 0.1358 0.8987 0.8298  0.07
Sr 0.7207 0.4842 0.0743  0.00
Sr 0.8843 0.6470 0.5843  0.00



No. 7
SrNi2Rh2: relaxed, PBE.

Results
Offset from the most stable computed form ... 78 meV per atom
Space-group type ... No. 127
DOS(E_F) ... 7.1 states/eV/f.u.
DFT total energy ... -54.62 eV/cell

Unit cell a=7.5370 b=7.5370 c=2.7952 alpha=90.00 beta=90.00 gamma=90.00
Each line ends with the local moment (μB).
Fractional positions:
Rh 0.8262 0.3262 0.5000  0.30
Rh 0.1738 0.6738 0.5000  0.30
Rh 0.3262 0.1738 0.5000  0.27
Rh 0.6738 0.8262 0.5000  0.27
Sr 0.0000 0.0000 0.0000  -0.01
Sr 0.5000 0.5000 0.0000  -0.01
Ni 0.6177 0.1177 0.0000  0.42
Ni 0.1177 0.3823 0.0000  0.41
Ni 0.8823 0.6177 0.0000  0.41
Ni 0.3823 0.8823 0.0000  0.42



No. 8
SrNiRh: relaxed, PBE.

Results
Offset from the most stable computed form ... 97 meV per atom
Space-group type ... No. 187
DOS(E_F) ... 3.6 states/eV/f.u.
DFT total energy ... -15.01 eV/cell

Unit cell a=4.1153 b=4.1153 c=4.5292 alpha=90.00 beta=90.00 gamma=120.00
Each line ends with the local moment (μB).
Fractional positions:
Sr 0.3333 0.6667 0.6666  -0.02
Ni 0.0000 0.0000 0.1668  0.56
Rh 0.6667 0.3333 0.1666  0.44



No. 9
SrNi2Rh2: relaxed, PBE.

Results
Offset from the most stable computed form ... 11 meV per atom
Space-group type ... No. 139
DOS(E_F) ... 7.9 states/eV/f.u.
DFT total energy ... -27.65 eV/cell

Unit cell a=4.3068 b=4.3068 c=5.7169 alpha=67.87 beta=67.87 gamma=90.00
Each line ends with the local moment (μB).
Fractional positions:
Rh 0.6288 0.6288 0.7424  0.22
Rh 0.3712 0.3712 0.2576  0.22
Sr 0.0000 0.0000 0.0000  -0.01
Ni 0.2500 0.7500 0.5000  0.38
Ni 0.7500 0.2500 0.5000  0.38



No. 10
Sr2Ni2Rh: relaxed, PBE.

Results
Offset from the most stable computed form ... 0 meV per atom
Space-group type ... No. 71
DOS(E_F) ... 3.5 states/eV/f.u.
DFT total energy ... -22.94 eV/cell

Unit cell a=4.4313 b=5.0804 c=5.7998 alpha=115.98 beta=112.46 gamma=90.00
Fractional positions:
Ni 0.5000 0.7548 0.0000
Ni 0.5000 0.2452 0.0000
Sr 0.8060 0.3060 0.6120
Sr 0.1940 0.6940 0.3880
Rh 0.0000 0.0000 0.0000



No. 11
Sr2NiRh: relaxed, PBE.

Results
Space-group type ... No. 44
DOS(E_F) ... 4.5 states/eV/f.u.
DFT total energy ... -16.67 eV/cell

Unit cell a=7.5009 b=7.5009 c=7.5009 alpha=147.27 beta=146.30 gamma=47.68
Each line ends with the local moment (μB).
Fractional positions:
Rh 0.3395 0.8395 0.5000  0.09
Sr 0.9934 0.9934 0.0000  -0.01
Sr 0.7553 0.2553 0.5000  0.00
Ni 0.4118 0.4118 0.0000  0.16



No. 12
Sr8Ni2Rh: relaxed, PBE.

Results
Space-group type ... No. 12
DOS(E_F) ... 8.6 states/eV/f.u.
DFT total energy ... -32.76 eV/cell

Unit cell a=8.0236 b=8.1169 c=8.0449 alpha=88.80 beta=119.91 gamma=90.00
Fractional positions:
Sr 0.2780 0.7417 0.0701
Sr 0.7220 0.2583 0.9299
Sr 0.7921 0.7417 0.0701
Sr 0.1986 0.1191 0.3972
Sr 0.2079 0.2583 0.9299
Sr 0.2790 0.5995 0.5581
Sr 0.7210 0.4005 0.4419
Sr 0.8014 0.8809 0.6028
Ni 0.9181 0.5422 0.8362
Ni 0.0819 0.4578 0.1638
Rh 0.0000 0.0000 0.0000



No. 13
Sr2NiRh: relaxed, PBE.

Results
Space-group type ... No. 166
DOS(E_F) ... 2.6 states/eV/f.u.
DFT total energy ... -15.30 eV/cell

Unit cell a=8.4782 b=8.4782 c=8.4782 alpha=26.28 beta=26.28 gamma=26.28
Each line ends with the local moment (μB).
Fractional positions:
Rh 0.7500 0.7500 0.7500  0.00
Sr 0.5006 0.5006 0.5006  -0.01
Sr 0.9994 0.9994 0.9994  -0.01
Ni 0.2500 0.2500 0.2500  0.29



No. 14
Sr2NiRh: relaxed, PBE.

Results
Space-group type ... No. 99
DOS(E_F) ... 5.8 states/eV/f.u.
DFT total energy ... -16.09 eV/cell

Unit cell a=3.5330 b=3.5330 c=8.6144 alpha=90.00 beta=90.00 gamma=90.01
Each line ends with the local moment (μB).
Fractional positions:
Ni 0.0000 0.0000 0.5852  0.11
Sr 0.0000 0.0000 0.9090  0.00
Sr 0.5000 0.5000 0.3395  0.00
Rh 0.5000 0.5000 0.6663  0.04



No. 15
Sr2NiRh: relaxed, PBE.

Results
Space-group type ... No. 38
DOS(E_F) ... 4.1 states/eV/f.u.
DFT total energy ... -17.15 eV/cell

Unit cell a=4.3820 b=4.6025 c=5.8089 alpha=66.64 beta=90.00 gamma=90.00
Fractional positions:
Rh 0.5000 0.5818 0.7110
Ni 0.0000 0.6688 0.5380
Sr 0.0000 0.9813 0.9122
Sr 0.5000 0.2681 0.3388



No. 16
Sr2NiRh2: relaxed, PBE.

Results
Space-group type ... No. 127
DOS(E_F) ... 1.5 states/eV/f.u.
DFT total energy ... -48.00 eV/cell

Unit cell a=6.7744 b=6.7744 c=4.6998 alpha=90.00 beta=90.00 gamma=90.00
Fractional positions:
Ni 0.5000 0.5000 0.0000
Ni 0.0000 0.0000 0.0000
Rh 0.1344 0.3656 0.0000
Rh 0.6344 0.1344 0.0000
Rh 0.8656 0.6344 0.0000
Rh 0.3656 0.8656 0.0000
Sr 0.1799 0.6799 0.5000
Sr 0.8201 0.3201 0.5000
Sr 0.3201 0.1799 0.5000
Sr 0.6799 0.8201 0.5000



No. 17
Sr2Ni2Rh: relaxed, PBE.

Results
Offset from the most stable computed form ... 182 meV per atom
Space-group type ... No. 127
DOS(E_F) ... 3.9 states/eV/f.u.
DFT total energy ... -44.06 eV/cell

Unit cell a=6.7652 b=6.7652 c=4.5701 alpha=90.00 beta=90.00 gamma=90.00
Each line ends with the local moment (μB).
Fractional positions:
Sr 0.6855 0.8145 0.5000  -0.01
Sr 0.1855 0.6855 0.5000  -0.01
Sr 0.3145 0.1855 0.5000  -0.01
Sr 0.8145 0.3145 0.5000  -0.01
Ni 0.8771 0.6229 0.0000  0.19
Ni 0.3771 0.8771 0.0000  0.24
Ni 0.6229 0.1229 0.0000  0.24
Ni 0.1229 0.3771 0.0000  0.19
Rh 0.0000 0.0000 0.0000  0.22
Rh 0.5000 0.5000 0.0000  0.22



No. 18
SrNi2Rh2: relaxed, PBE.

Results
Offset from the most stable computed form ... 87 meV per atom
Space-group type ... No. 127
DOS(E_F) ... 7.9 states/eV/f.u.
DFT total energy ... -54.53 eV/cell

Unit cell a=7.5553 b=7.5553 c=2.7919 alpha=90.00 beta=90.00 gamma=90.00
Each line ends with the local moment (μB).
Fractional positions:
Ni 0.3274 0.1726 0.5000  0.33
Ni 0.1726 0.6726 0.5000  0.35
Ni 0.6726 0.8274 0.5000  0.33
Ni 0.8274 0.3274 0.5000  0.35
Rh 0.1240 0.3760 0.0000  0.27
Rh 0.8760 0.6240 0.0000  0.27
Rh 0.3760 0.8760 0.0000  0.27
Rh 0.6240 0.1240 0.0000  0.27
Sr 0.5000 0.5000 0.0000  -0.02
Sr 0.0000 0.0000 0.0000  -0.02



No. 19
Sr2NiRh: relaxed, PBE.

Results
Space-group type ... No. 122
DOS(E_F) ... 3.0 states/eV/f.u.
DFT total energy ... -30.42 eV/cell

Unit cell a=7.8873 b=7.8873 c=6.4249 alpha=52.13 beta=52.13 gamma=90.00
Fractional positions:
Ni 0.5000 0.5000 0.0000
Ni 0.2500 0.7500 0.5000
Sr 0.3750 0.3765 0.7500
Sr 0.1265 0.6250 0.2500
Sr 0.8750 0.8735 0.7500
Sr 0.6235 0.1250 0.2500
Rh 0.0000 0.0000 0.0000
Rh 0.7500 0.2500 0.5000



No. 20
SrNiRh: relaxed, PBE.

Results
Offset from the most stable computed form ... 552 meV per atom
Space-group type ... No. 216
DOS(E_F) ... 6.9 states/eV/f.u.
DFT total energy ... -13.65 eV/cell

Unit cell a=4.5032 b=4.5032 c=4.5032 alpha=60.00 beta=60.00 gamma=60.00
Each line ends with the local moment (μB).
Fractional positions:
Rh 0.0000 0.0000 0.0000  0.38
Sr 0.5000 0.5000 0.5000  -0.01
Ni 0.7500 0.7500 0.7500  0.44



No. 21
SrNiRh: relaxed, PBE.

Results
Offset from the most stable computed form ... 0 meV per atom
Space-group type ... No. 74
DOS(E_F) ... 2.8 states/eV/f.u.
DFT total energy ... -30.61 eV/cell

Unit cell a=5.3680 b=5.3680 c=5.3680 alpha=90.79 beta=118.44 gamma=120.66
Fractional positions:
Rh 0.0000 0.5000 0.0000
Rh 0.5000 0.5000 0.5000
Ni 0.0000 0.5000 0.5000
Ni 0.5000 0.0000 0.5000
Sr 0.7500 0.8755 0.1255
Sr 0.2500 0.1245 0.8745



No. 22
SrNiRh: relaxed, PBE.

Results
Offset from the most stable computed form ... 234 meV per atom
Space-group type ... No. 107
DOS(E_F) ... 4.0 states/eV/f.u.
DFT total energy ... -14.60 eV/cell

Unit cell a=5.7369 b=5.7367 c=3.4149 alpha=72.69 beta=72.68 gamma=34.63
Each line ends with the local moment (μB).
Fractional positions:
Ni 0.9474 0.9474 0.0526  0.32
Sr 0.6681 0.6681 0.3319  -0.01
Rh 0.3845 0.3845 0.6155  0.15



No. 23
Sr2NiRh: relaxed, PBE.

Results
Space-group type ... No. 25
DOS(E_F) ... 3.6 states/eV/f.u.
DFT total energy ... -15.35 eV/cell

Unit cell a=3.4229 b=5.0385 c=5.9495 alpha=90.00 beta=90.00 gamma=90.00
Fractional positions:
Ni 0.0000 0.0000 0.3869
Sr 0.0000 0.0000 0.8821
Sr 0.5000 0.5000 0.3667
Rh 0.5000 0.5000 0.8643



No. 24
Sr3NiRh: relaxed, PBE.

Results
Offset from the most stable computed form ... 0 meV per atom
Space-group type ... No. 221
DOS(E_F) ... 5.9 states/eV/f.u.
DFT total energy ... -16.82 eV/cell

Unit cell a=5.6579 b=5.6579 c=5.6579 alpha=90.00 beta=90.00 gamma=90.00
Each line ends with the local moment (μB).
Fractional positions:
Sr 0.5000 0.0000 0.0000  0.00
Sr 0.0000 0.0000 0.5000  0.00
Sr 0.0000 0.5000 0.0000  0.00
Rh 0.0000 0.0000 0.0000  0.00
Ni 0.5000 0.5000 0.5000  0.32



No. 25
SrNi2Rh2: relaxed, PBE.

Results
Offset from the most stable computed form ... 0 meV per atom
Space-group type ... No. 139
DOS(E_F) ... 6.9 states/eV/f.u.
DFT total energy ... -27.70 eV/cell

Unit cell a=4.2045 b=4.2045 c=5.8308 alpha=68.87 beta=68.87 gamma=90.00
Each line ends with the local moment (μB).
Fractional positions:
Ni 0.3815 0.3815 0.2370  0.82
Ni 0.6185 0.6185 0.7630  0.82
Rh 0.2500 0.7500 0.5000  0.76
Rh 0.7500 0.2500 0.5000  0.76
Sr 0.0000 0.0000 0.0000  -0.02



No. 26
SrNi2TeRh: relaxed, PBE.

Results
Space-group type ... No. 123
DOS(E_F) ... 6.7 states/eV/f.u.
DFT total energy ... -16.37 eV/cell
Uncorrected formation energy ... 1.47 eV per atom

Unit cell a=4.7590 b=5.0182 c=4.7590 alpha=90.00 beta=90.00 gamma=90.00
Fractional positions:
Te 0.5000 0.5000 0.5000
Ni 0.0000 0.0000 0.5000
Ni 0.5000 0.0000 0.0000
Rh 0.0000 0.5000 0.0000
Sr 0.0000 0.0000 0.0000



No. 27
SrTlNi2Rh: relaxed, PBE.

Results
Space-group type ... No. 123
DOS(E_F) ... 5.9 states/eV/f.u.
DFT total energy ... -21.15 eV/cell

Unit cell a=4.8018 b=5.0951 c=4.8018 alpha=90.00 beta=90.00 gamma=90.00
Each line ends with the local moment (μB).
Fractional positions:
Sr 0.5000 0.5000 0.5000  -0.01
Tl 0.0000 0.5000 0.0000  0.00
Rh 0.0000 0.0000 0.0000  0.53
Ni 0.5000 0.0000 0.0000  0.56
Ni 0.0000 0.0000 0.5000  1.06



No. 28
SrZn3NiRh: relaxed, PBE.

Results
Space-group type ... No. 63
DOS(E_F) ... 2.1 states/eV/f.u.
DFT total energy ... -39.53 eV/cell

Unit cell a=5.6453 b=6.5280 c=6.9604 alpha=117.97 beta=90.00 gamma=90.00
Fractional positions:
Zn 0.7500 0.8446 0.6891
Zn 0.5000 0.7076 0.0000
Zn 0.0000 0.7076 0.0000
Zn 0.2500 0.1554 0.3109
Zn 0.0000 0.2924 0.0000
Zn 0.5000 0.2924 0.0000
Rh 0.2500 0.3650 0.7299
Rh 0.7500 0.6350 0.2701
Sr 0.2500 0.7279 0.4559
Sr 0.7500 0.2721 0.5441
Ni 0.7500 0.0369 0.0738
Ni 0.2500 0.9631 0.9262